A geometry-optimized Li5Cu3Ni2O10 structure, computed with PBE with a Hubbard U.

Values from the calculation:
Spin magnetization ... 0.08 μB per formula unit
E ... -4.923 eV per atom

CIF file:
```
data_Li5Cu3Ni2O10
_chemical_formula_sum 'Li5 Cu3 Ni2 O10'
_cell_length_a 4.999
_cell_length_b 5.271
_cell_length_c 7.539
_cell_angle_alpha 105.03
_cell_angle_beta 103.25
_cell_angle_gamma 103.99
_symmetry_space_group_name_H-M 'P -1'
_symmetry_Int_Tables_number 2
loop_
_symmetry_equiv_pos_as_xyz
'x,y,z'
'-x,-y,-z'
loop_
_atom_site_label
_atom_site_type_symbol
_atom_site_fract_x
_atom_site_fract_y
_atom_site_fract_z
Li1 Li 0.000 0.000 0.000
Li2 Li 0.100 0.222 0.715
Li3 Li 0.295 0.596 0.100
Cu1 Cu 0.197 0.383 0.396
Cu2 Cu 0.500 0.000 0.500
Ni1 Ni 0.398 0.827 0.808
O1 O 0.054 0.620 0.836
O2 O 0.156 0.835 0.578
O3 O 0.288 0.971 0.252
O4 O 0.370 0.171 0.958
O5 O 0.441 0.478 0.662
```